The following is a SCAN calculation of CrInBi3 at its PBEsol-relaxed geometry, from Alexandria.

```
CrInBi3
1.0
5.2179 0.0000 0.0000
0.0000 5.2179 0.0000
0.0000 0.0000 5.2179
Cr In Bi
1 1 3
direct
0.0000 0.0000 0.0000 Cr
0.5000 0.5000 0.5000 In
0.0000 0.0000 0.5000 Bi
0.0000 0.5000 0.0000 Bi
0.5000 0.0000 0.0000 Bi
```

Computed properties:
E_form in eV per atom: 0.44
Space group: Pm-3m
Energy in eV/cell: -285.29
N(E_F) in states/eV/f.u.: 3.8

The following is a SCAN calculation of SrHgIr at its PBEsol-relaxed geometry, from Alexandria.

```
SrHgIr
1.0
3.3934 0.0000 0.0000
-1.6967 2.9387 0.0000
0.0000 0.0000 6.8478
Sr Hg Ir
1 1 1
direct
0.0000 0.0000 0.0000 Sr
0.3333 0.6667 0.6121 Hg
0.6667 0.3333 0.3166 Ir
```

Computed properties:
E_form in eV per atom: 0.40
Space group: P3m1
Energy in eV/cell: -160.34
N(E_F) in states/eV/f.u.: 1.2

The following is a SCAN calculation of Li2Ti2Sb2O at its PBEsol-relaxed geometry, from Alexandria.

```
Li2Ti2Sb2O
1.0
4.0466 0.0000 0.0000
0.0000 4.0466 0.0000
0.0000 0.0000 14.6107
Li Ti Sb O
4 4 4 2
direct
0.0000 0.0000 0.1676 Li
0.0000 0.0000 0.8324 Li
0.5000 0.5000 0.3324 Li
0.5000 0.5000 0.6676 Li
0.0000 0.5000 0.0000 Ti
0.0000 0.5000 0.5000 Ti
0.5000 0.0000 0.0000 Ti
0.5000 0.0000 0.5000 Ti
0.0000 0.0000 0.3598 Sb
0.0000 0.0000 0.6402 Sb
0.5000 0.5000 0.1402 Sb
0.5000 0.5000 0.8598 Sb
0.0000 0.0000 0.0000 O
0.5000 0.5000 0.5000 O
```

Computed properties:
Space group: I4/mmm
Uncorrected formation energy in meV/atom: -1247
Energy in eV/cell: -252.64
N(E_F) in states/eV/f.u.: 2.8

The following is a SCAN calculation of IrRhCF2 at its PBEsol-relaxed geometry, from Alexandria.

```
IrRhCF2
1.0
3.7245 0.0000 0.0000
0.0000 3.7245 0.0000
0.0000 0.0000 4.1589
Ir Rh C F
1 1 1 2
direct
0.0000 0.0000 0.0000 Ir
0.5000 0.5000 0.0000 Rh
0.0000 0.0000 0.5000 C
0.0000 0.5000 0.5000 F
0.5000 0.0000 0.5000 F
```

Computed properties:
Space group: P4/mmm
Uncorrected formation energy in meV/atom: 747
Energy in eV/cell: -118.32
N(E_F) in states/eV/f.u.: 3.9

Q: energy of number 3 (Li2Ti2Sb2O)?
A: -252.64 eV/cell

Q: Among the records above, which one has the lowest energy?
A: CrInBi3

Copy entry 2 word for word.
The following is a SCAN calculation of SrHgIr at its PBEsol-relaxed geometry, from Alexandria.

```
SrHgIr
1.0
3.3934 0.0000 0.0000
-1.6967 2.9387 0.0000
0.0000 0.0000 6.8478
Sr Hg Ir
1 1 1
direct
0.0000 0.0000 0.0000 Sr
0.3333 0.6667 0.6121 Hg
0.6667 0.3333 0.3166 Ir
```

Computed properties:
E_form in eV per atom: 0.40
Space group: P3m1
Energy in eV/cell: -160.34
N(E_F) in states/eV/f.u.: 1.2

Q: Which value of N(E_F) does entry 4 give?
A: 3.9 states/eV/f.u.